Here is a relaxed structure of PmGdTlCu from Alexandria via LeMat-Bulk. Energies are from GGA-PBE.

Lattice parameters (Å, degrees): 5.2664 5.2664 5.2664 60.00 60.00 60.00
Last column: nearest neighbours and their distance in Å.
Positions (direct):
1 Pm 0.0000 0.0000 0.0000  4 Cu 3.22, 4 Tl 3.22
2 Gd 0.5000 0.5000 0.5000  4 Cu 3.22, 4 Tl 3.22
3 Tl 0.2500 0.2500 0.2500  4 Gd 3.22, 4 Pm 3.22
4 Cu 0.7500 0.7500 0.7500  4 Pm 3.22, 4 Gd 3.22

Results
energy = -0.4824 Ry/atom
total moment = 7.645 μB/f.u.
formation energy from the elements = -0.240 eV/atom